1.
Cd2HgBi after structural relaxation, computed with GGA-PBEsol.

The calculation puts the calculated density at 10.4 g/cm3. Its spin magnetization is 0.00 μB per cell. The relative energy among the computed polymorphs is 28.3 meV/atom.

The structure belongs to space group I-42d (No. 122); the cell edges are 4.398, 4.398 and 21.018 Å and the angles 90.00°, 90.00° and 90.00°. The inequivalent atoms are Cd at (0.232, 0.250, 0.125), Hg at (0.000, 0.000, 0.000) and Bi at (0.000, 0.000, 0.500).

2.
HfTc3Pb after structural relaxation, computed with GGA-PBEsol.

The calculation puts the calculated density at 10.1 g/cm3. The calculation puts the energy at -7.419 eV per atom. Its spin magnetization is 1.95 μB per cell.

The structure belongs to space group Pm-3m (No. 221); the cell edges are 4.812, 4.812 and 4.812 Å and the angles 90.00°, 90.00° and 90.00°. The inequivalent atoms are Hf at (0.000, 0.000, 0.000), Tc at (0.000, 0.500, 0.500) and Pb at (0.500, 0.500, 0.500).

3.
Y2CrSe after structural relaxation, computed with GGA-PBEsol.

The calculation puts the calculated density at 5.9 g/cm3. The uncorrected formation energy comes out at -0.591 eV per atom. Its spin magnetization is 5.34 μB per cell.

The structure belongs to space group Amm2 (No. 38); the cell edges are 4.237, 3.800 and 10.777 Å and the angles 90.00°, 90.00° and 90.00°. The inequivalent atoms are Y at (0.000, 0.000, 0.000), Y at (0.500, 0.000, 0.291), Cr at (0.000, 0.000, 0.724) and Se at (0.500, 0.000, 0.574).

4.
Li2NpIn after structural relaxation, computed with GGA-PBEsol.

The calculation puts the calculated density at 7.8 g/cm3. The calculation puts the energy at -4.761 eV per atom. Its spin magnetization is 16.72 μB per cell.

The structure belongs to space group Fm-3m (No. 225); the cell edges are 6.789, 6.789 and 6.789 Å and the angles 90.00°, 90.00° and 90.00°. The inequivalent atoms are Li at (0.250, 0.250, 0.250), Np at (0.000, 0.000, 0.000) and In at (0.000, 0.000, 0.500).

5.
SnTePbSe after structural relaxation, computed with GGA-PBEsol.

The calculation puts the calculated density at 7.5 g/cm3. The uncorrected formation energy comes out at -0.394 eV per atom. Its spin magnetization is 0.00 μB per cell. The relative energy among the computed polymorphs is 0.0 meV/atom.

The structure belongs to space group R3m (No. 160, hexagonal axes); the cell edges are 4.3729, 4.3729 and 21.4006 Å and the angles 90.00°, 90.00° and 120.00°. The inequivalent atoms are Sn at (0.0000, 0.0000, 0.0000), Te at (0.0000, 0.0000, 0.7534), Pb at (0.0000, 0.0000, 0.5113) and Se at (0.0000, 0.0000, 0.2592).

6.
Be2I2N after structural relaxation, computed with GGA-PBEsol.

The calculation puts the calculated density at 5.6 g/cm3. The uncorrected formation energy comes out at 1.219 eV per atom. Its spin magnetization is 2.14 μB per cell.

The structure belongs to space group I4/mmm (No. 139); the cell edges are 3.507, 3.507 and 13.671 Å and the angles 90.00°, 90.00° and 90.00°. The inequivalent atoms are Be at (0.000, 0.500, 0.250), I at (0.000, 0.000, 0.121) and N at (0.000, 0.000, 0.500).

7.
ZrSc2Fe after structural relaxation, computed with GGA-PBEsol.

The calculation puts the calculated density at 5.2 g/cm3. Its spin magnetization is 0.00 μB per cell. The relative energy among the computed polymorphs is 0.0 meV/atom.

The structure belongs to space group Imm2 (No. 44); the cell edges are 3.237, 4.847 and 9.573 Å and the angles 90.00°, 90.00° and 90.00°. The inequivalent atoms are Zr at (0.000, 0.000, 0.000), Sc at (0.000, 0.000, 0.402), Sc at (0.000, 0.500, 0.201) and Fe at (0.000, 0.500, 0.695).

8.
Mg2BeCd after structural relaxation, computed with GGA-PBEsol.

The calculation puts the calculated density at 4.0 g/cm3. Its spin magnetization is 0.00 μB per cell. The relative energy among the computed polymorphs is 0.0 meV/atom.

The structure belongs to space group P4/mmm (No. 123); the cell edges are 3.070, 3.070 and 7.481 Å and the angles 90.00°, 90.00° and 90.00°. The inequivalent atoms are Mg at (0.000, 0.000, 0.211), Be at (0.500, 0.500, 0.000) and Cd at (0.500, 0.500, 0.500).

9.
Co3BrN after structural relaxation, computed with GGA-PBEsol.

The calculation puts the calculated density at 5.6 g/cm3. The uncorrected formation energy comes out at 2.137 eV per atom. Its spin magnetization is 6.99 μB per cell.

The structure belongs to space group Pm-3m (No. 221); the cell edges are 4.321, 4.321 and 4.321 Å and the angles 90.00°, 90.00° and 90.00°. The inequivalent atoms are Co at (0.000, 0.000, 0.500), Br at (0.000, 0.000, 0.000) and N at (0.500, 0.500, 0.500).

10.
ReRu2Au after structural relaxation, computed with GGA-PBEsol.

The calculation puts the calculated density at 17.0 g/cm3. Its spin magnetization is 0.00 μB per cell. The relative energy among the computed polymorphs is 246.1 meV/atom.

The structure belongs to space group P4/mmm (No. 123); the cell edges are 3.909, 3.909 and 3.751 Å and the angles 90.00°, 90.00° and 90.00°. The inequivalent atoms are Re at (0.000, 0.000, 0.000), Ru at (0.000, 0.500, 0.500) and Au at (0.500, 0.500, 0.000).